Nb12In3Mo, relaxed, DFT PBE-GGA; E = -8.767 eV/atom; space-group type = Pmmm (47); DOS(E_F) = 19.4 states/eV/cell; formation energy = -24.6 meV per atom; total magnetization = 0.00 μB per formula unit
1.0
5.3061 0.0000 0.0000
0.0000 5.3255 0.0000
0.0000 0.0000 10.5778
In Nb Mo
3 12 1
direct
0.0000 0.0000 0.0000
0.5000 0.5000 0.2503
0.5000 0.5000 0.7497
0.7510 0.5000 0.0000
0.5000 0.0000 0.6193
0.0000 0.7566 0.7431
0.0000 0.2434 0.2569
0.0000 0.2434 0.7431
0.5000 0.0000 0.1271
0.2423 0.5000 0.5000
0.5000 0.0000 0.8729
0.7577 0.5000 0.5000
0.0000 0.7566 0.2569
0.2490 0.5000 0.0000
0.5000 0.0000 0.3807
0.0000 0.0000 0.5000

=====

LiCa2La, relaxed, DFT PBE-GGA; E = -2.634 eV/atom; space-group type = P4mm (99); DOS(E_F) = 5.6 states/eV/cell; formation energy = 77.1 meV per atom; total magnetization = 0.01 μB per formula unit
1.0
3.9033 0.0000 0.0000
0.0000 3.9033 0.0000
0.0000 0.0000 9.2409
Ca Li La
2 1 1
direct
0.5000 0.5000 0.2513
0.0000 0.0000 0.9565
0.5000 0.5000 0.7531
0.0000 0.0000 0.5392